{
  "formula": "CaAl2Cu",
  "functional": "PBE-GGA",
  "state": "relaxed",
  "dft_energy_ev_per_cell": -26.22,
  "ef_ev_per_atom": 0.118,
  "crystal_system": "orthorhombic",
  "lattice_angstrom": [[5.6791, 0.0000, 0.0000], [0.0000, 9.0838, 0.0000], [0.0000, 0.0000, 3.0528]],
  "species": ["Ca", "Ca", "Al", "Al", "Al", "Al", "Cu", "Cu"],
  "frac_coords": [[0.0000, 0.0000, 0.0000], [0.5000, 0.5000, 0.0000], [0.2500, 0.2500, 0.5000], [0.2500, 0.7500, 0.5000], [0.7500, 0.2500, 0.5000], [0.7500, 0.7500, 0.5000], [0.0000, 0.5000, 0.0000], [0.5000, 0.0000, 0.0000]]
}